(1)
! PBE-GGA YBIr2, relaxed; values from VASP
&SYSTEM
  ibrav = 0, nat = 4, ntyp = 3
/
ATOMIC_SPECIES
Y 88.91 Y.upf
B 10.81 B.upf
Ir 192.22 Ir.upf
CELL_PARAMETERS angstrom
0.0000 3.1639 3.1639
3.1639 0.0000 3.1639
3.1639 3.1639 0.0000
ATOMIC_POSITIONS angstrom
Y 0.0000 0.0000 0.0000
B 4.7459 4.7459 4.7459
Ir 1.5820 1.5820 1.5820
Ir 3.1639 3.1639 3.1639
! - Calculated total energy: -7.27 eV/atom
! - V: 63.34 Å³/cell

***

(2)
! PBE-GGA YBIr, relaxed; values from VASP
&SYSTEM
  ibrav = 0, nat = 3, ntyp = 3
/
ATOMIC_SPECIES
Y 88.91 Y.upf
B 10.81 B.upf
Ir 192.22 Ir.upf
CELL_PARAMETERS angstrom
0.0000 2.9195 2.9195
2.9195 0.0000 2.9195
2.9195 2.9195 0.0000
ATOMIC_POSITIONS angstrom
Y 0.0000 0.0000 0.0000
B 4.3792 4.3792 4.3792
Ir 2.9195 2.9195 2.9195
! - Calculated total energy: -7.40 eV/atom
! - V: 49.77 Å³/cell
! - Energy relative to the lowest polymorph listed for this composition: 0.000 eV/atom

***

(3)
! PBE-GGA Y2B6Ir, relaxed; values from VASP
&SYSTEM
  ibrav = 0, nat = 36, ntyp = 3
/
ATOMIC_SPECIES
Y 88.91 Y.upf
B 10.81 B.upf
Ir 192.22 Ir.upf
CELL_PARAMETERS angstrom
9.2070 0.0000 0.0000
0.0000 11.5406 0.0000
0.0000 0.0000 3.6439
ATOMIC_POSITIONS angstrom
Y 0.5100 1.4401 0.0000
Y 1.6314 4.7629 0.0000
Y 2.9721 10.5332 0.0000
Y 4.0935 7.2104 0.0000
Y 5.1135 4.3302 0.0000
Y 6.2349 1.0074 0.0000
Y 7.5756 6.7777 0.0000
Y 8.6970 10.1005 0.0000
B 0.1623 3.3096 1.8220
B 0.4843 6.5368 1.8220
B 1.0551 11.1766 1.8220
B 1.2272 9.4072 1.8220
B 1.9051 2.6982 1.8220
B 2.2861 6.6826 1.8220
B 2.3174 0.9123 1.8220
B 2.6984 8.4685 1.8220
B 3.3763 3.6369 1.8220
B 3.5484 5.4062 1.8220
B 4.1192 0.7665 1.8220
B 4.4412 9.0799 1.8220
B 4.7658 2.4607 1.8220
B 5.0878 10.7742 1.8220
B 5.6586 6.1344 1.8220
B 5.8307 7.9038 1.8220
B 6.5086 3.0721 1.8220
B 6.8896 10.6283 1.8220
B 6.9209 4.8580 1.8220
B 7.3019 8.8424 1.8220
B 7.9798 2.1335 1.8220
B 8.1519 0.3641 1.8220
B 8.7227 5.0039 1.8220
B 9.0447 8.2311 1.8220
Ir 1.2748 7.8294 0.0000
Ir 3.3287 2.0591 0.0000
Ir 5.8783 9.4816 0.0000
Ir 7.9322 3.7112 0.0000
! - Calculated total energy: -7.50 eV/atom
! - V: 387.18 Å³/cell

***

(4)
! PBE-GGA ZnBIr, relaxed; values from VASP
&SYSTEM
  ibrav = 0, nat = 3, ntyp = 3
/
ATOMIC_SPECIES
Zn 65.41 Zn.upf
B 10.81 B.upf
Ir 192.22 Ir.upf
CELL_PARAMETERS angstrom
0.0000 2.7508 2.7508
2.7508 0.0000 2.7508
2.7508 2.7508 0.0000
ATOMIC_POSITIONS angstrom
Zn 0.0000 0.0000 0.0000
B 2.7508 2.7508 2.7508
Ir 4.1262 4.1262 4.1262
! - Calculated total energy: -5.08 eV/atom
! - V: 41.63 Å³/cell

***

(5)
! PBE-GGA Zn2BIr, relaxed; values from VASP
&SYSTEM
  ibrav = 0, nat = 4, ntyp = 3
/
ATOMIC_SPECIES
Zn 65.41 Zn.upf
B 10.81 B.upf
Ir 192.22 Ir.upf
CELL_PARAMETERS angstrom
0.0000 2.9085 2.9085
2.9085 0.0000 2.9085
2.9085 2.9085 0.0000
ATOMIC_POSITIONS angstrom
Zn 0.0000 0.0000 0.0000
Zn 1.4543 1.4543 1.4543
B 2.9085 2.9085 2.9085
Ir 4.3628 4.3628 4.3628
! - Calculated total energy: -4.05 eV/atom
! - V: 49.21 Å³/cell

***

(6)
! PBE-GGA Zn5B3Ir7, relaxed; values from VASP
&SYSTEM
  ibrav = 0, nat = 30, ntyp = 3
/
ATOMIC_SPECIES
Zn 65.41 Zn.upf
B 10.81 B.upf
Ir 192.22 Ir.upf
CELL_PARAMETERS angstrom
11.7233 0.0000 0.0000
0.0000 2.8396 0.0000
0.0000 0.0000 12.4638
ATOMIC_POSITIONS angstrom
Zn 0.5801 0.0000 1.2855
Zn 0.9264 0.0000 3.9062
Zn 2.9308 0.0000 5.2022
Zn 4.9352 0.0000 3.9062
Zn 5.2815 0.0000 1.2855
Zn 6.4418 0.0000 11.1782
Zn 6.7881 0.0000 8.5575
Zn 8.7924 0.0000 7.2616
Zn 10.7968 0.0000 8.5575
Zn 11.1431 0.0000 11.1782
B 1.2406 0.0000 7.5812
B 2.9308 0.0000 3.0954
B 4.6210 0.0000 7.5812
B 7.1022 0.0000 4.8826
B 8.7924 0.0000 9.3684
B 10.4827 0.0000 4.8826
Ir 0.0000 1.4198 6.2319
Ir 1.0706 1.4198 9.2137
Ir 1.6633 1.4198 11.6982
Ir 2.9308 1.4198 1.6136
Ir 2.9308 1.4198 7.2356
Ir 4.1984 1.4198 11.6982
Ir 4.7910 1.4198 9.2137
Ir 5.8616 1.4198 6.2319
Ir 6.9323 1.4198 3.2501
Ir 7.5249 1.4198 0.7655
Ir 8.7924 1.4198 5.2282
Ir 8.7924 1.4198 10.8502
Ir 10.0600 1.4198 0.7655
Ir 10.6526 1.4198 3.2501
! - Calculated total energy: -5.78 eV/atom
! - V: 414.91 Å³/cell

***

Number 1: calculated density 12.7 g cm⁻³. Number 2: calculated density 9.7 g cm⁻³. Number 3: calculated density 7.5 g cm⁻³. Number 4: calculated density 10.7 g cm⁻³. Number 5: calculated density 11.3 g cm⁻³. Number 6: calculated density 13.6 g cm⁻³.